[1]
The following is a DFT calculation (PBE) of crystalline YTe2Os at its relaxed geometry.

```
data_YTe2Os
_chemical_formula_sum 'Y1 Te2 Os1'
_space_group_name_H-M_alt 'P 4 m m'
_space_group_IT_number 99
_space_group_name_Hall 'P 4 -2'
_cell_length_a 3.2831
_cell_length_b 3.2831
_cell_length_c 9.5301
_cell_angle_alpha 90.00
_cell_angle_beta 90.00
_cell_angle_gamma 90.00
loop_
_atom_site_label
_atom_site_type_symbol
_atom_site_fract_x
_atom_site_fract_y
_atom_site_fract_z
Y1 Y 0.0000 0.0000 0.0000
Te1 Te 0.0000 0.0000 0.3689
Te2 Te 0.5000 0.5000 0.7571
Os1 Os 0.5000 0.5000 0.2110
```

Computed properties:
ρ = 8.638 g cm⁻³
formation energy without anion corrections = -226 meV/atom

---

[2]
The following is a DFT calculation (PBE) of crystalline YTe4Os at its relaxed geometry.

```
data_YTe4Os
_chemical_formula_sum 'Y4 Te16 Os4'
_space_group_name_H-M_alt 'F -4 3 m'
_space_group_IT_number 216
_space_group_name_Hall 'F -4 2 3'
_cell_length_a 8.7355
_cell_length_b 8.7355
_cell_length_c 8.7355
_cell_angle_alpha 90.00
_cell_angle_beta 90.00
_cell_angle_gamma 90.00
loop_
_atom_site_label
_atom_site_type_symbol
_atom_site_fract_x
_atom_site_fract_y
_atom_site_fract_z
Y1 Y 0.0000 0.0000 0.0000
Te1 Te 0.1243 0.1243 0.3757
Os1 Os 0.2500 0.2500 0.7500
```

Computed properties:
ρ = 7.867 g cm⁻³
formation energy without anion corrections = 887 meV/atom

---

[3]
The following is a DFT calculation (PBE) of crystalline YTeOs at its relaxed geometry.

```
data_YTeOs
_chemical_formula_sum 'Y2 Te2 Os2'
_space_group_name_H-M_alt 'I 4 m m'
_space_group_IT_number 107
_space_group_name_Hall 'I 4 -2'
_cell_length_a 3.3470
_cell_length_b 3.3470
_cell_length_c 11.6140
_cell_angle_alpha 90.00
_cell_angle_beta 90.00
_cell_angle_gamma 90.00
loop_
_atom_site_label
_atom_site_type_symbol
_atom_site_fract_x
_atom_site_fract_y
_atom_site_fract_z
Y1 Y 0.0000 0.0000 0.0000
Te1 Te 0.0000 0.0000 0.7062
Os1 Os 0.0000 0.0000 0.3406
```

Computed properties:
ρ = 10.383 g cm⁻³
formation energy without anion corrections = 19 meV/atom

---

[4]
The following is a DFT calculation (PBE) of crystalline YTe2Os at its relaxed geometry.

```
data_YTe2Os
_chemical_formula_sum 'Y3 Te6 Os3'
_space_group_name_H-M_alt 'R 3 m'
_space_group_IT_number 160
_space_group_name_Hall 'R 3 -2"'
_cell_length_a 4.0806
_cell_length_b 4.0806
_cell_length_c 23.9868
_cell_angle_alpha 90.00
_cell_angle_beta 90.00
_cell_angle_gamma 120.00
loop_
_atom_site_label
_atom_site_type_symbol
_atom_site_fract_x
_atom_site_fract_y
_atom_site_fract_z
Y1 Y 0.0000 0.0000 0.0000
Te1 Te 0.0000 0.0000 0.5416
Te2 Te 0.0000 0.0000 0.7457
Os1 Os 0.0000 0.0000 0.2504
```

Computed properties:
ρ = 7.695 g cm⁻³
formation energy without anion corrections = -185 meV/atom

---

[5]
The following is a DFT calculation (PBE) of crystalline YTe2Os at its relaxed geometry.

```
data_YTe2Os
_chemical_formula_sum 'Y4 Te8 Os4'
_space_group_name_H-M_alt 'I -4 2 d'
_space_group_IT_number 122
_space_group_name_Hall 'I -4 2bw'
_cell_length_a 5.4536
_cell_length_b 5.4536
_cell_length_c 15.8908
_cell_angle_alpha 90.00
_cell_angle_beta 90.00
_cell_angle_gamma 90.00
loop_
_atom_site_label
_atom_site_type_symbol
_atom_site_fract_x
_atom_site_fract_y
_atom_site_fract_z
Y1 Y 0.0000 0.0000 0.0000
Te1 Te 0.1891 0.2500 0.6250
Os1 Os 0.0000 0.0000 0.5000
```

Computed properties:
ρ = 7.509 g cm⁻³
formation energy without anion corrections = 38 meV/atom

---

[6]
The following is a DFT calculation (PBE) of crystalline YTeOs4 at its relaxed geometry.

```
data_YTeOs4
_chemical_formula_sum 'Y4 Te4 Os16'
_space_group_name_H-M_alt 'F -4 3 m'
_space_group_IT_number 216
_space_group_name_Hall 'F -4 2 3'
_cell_length_a 7.5621
_cell_length_b 7.5621
_cell_length_c 7.5621
_cell_angle_alpha 90.00
_cell_angle_beta 90.00
_cell_angle_gamma 90.00
loop_
_atom_site_label
_atom_site_type_symbol
_atom_site_fract_x
_atom_site_fract_y
_atom_site_fract_z
Y1 Y 0.0000 0.0000 0.0000
Te1 Te 0.2500 0.2500 0.2500
Os1 Os 0.1248 0.1248 0.6248
```

Computed properties:
ρ = 15.013 g cm⁻³
formation energy without anion corrections = 364 meV/atom

---

[7]
The following is a DFT calculation (PBE) of crystalline YTe2Os at its relaxed geometry.

```
data_YTe2Os
_chemical_formula_sum 'Y2 Te4 Os2'
_space_group_name_H-M_alt 'C m m m'
_space_group_IT_number 65
_space_group_name_Hall '-C 2 2'
_cell_length_a 4.3912
_cell_length_b 5.6899
_cell_length_c 7.3542
_cell_angle_alpha 90.00
_cell_angle_beta 90.00
_cell_angle_gamma 90.00
loop_
_atom_site_label
_atom_site_type_symbol
_atom_site_fract_x
_atom_site_fract_y
_atom_site_fract_z
Y1 Y 0.0000 0.0000 0.0000
Te1 Te 0.0000 0.5000 0.2797
Os1 Os 0.0000 0.0000 0.5000
```

Computed properties:
ρ = 9.657 g cm⁻³
formation energy without anion corrections = 117 meV/atom

---

[8]
The following is a DFT calculation (PBE) of crystalline Y6TeOs2 at its relaxed geometry.

```
data_Y6TeOs2
_chemical_formula_sum 'Y24 Te4 Os8'
_space_group_name_H-M_alt 'I m m m'
_space_group_IT_number 71
_space_group_name_Hall '-I 2 2'
_cell_length_a 9.5699
_cell_length_b 9.6200
_cell_length_c 10.4452
_cell_angle_alpha 90.00
_cell_angle_beta 90.00
_cell_angle_gamma 90.00
loop_
_atom_site_label
_atom_site_type_symbol
_atom_site_fract_x
_atom_site_fract_y
_atom_site_fract_z
Y1 Y 0.0000 0.2082 0.2400
Y2 Y 0.1837 0.5000 0.1713
Y3 Y 0.2220 0.3174 0.5000
Te1 Te 0.0000 0.0000 0.0000
Te2 Te 0.0000 0.0000 0.5000
Os1 Os 0.0000 0.3362 0.0000
Os2 Os 0.0000 0.5000 0.3815
```

Computed properties:
ρ = 7.194 g cm⁻³
formation energy without anion corrections = -408 meV/atom

---

[9]
The following is a DFT calculation (PBE) of crystalline YTe2Os at its relaxed geometry.

```
data_YTe2Os
_chemical_formula_sum 'Y4 Te8 Os4'
_space_group_name_H-M_alt 'F m -3 m'
_space_group_IT_number 225
_space_group_name_Hall '-F 4 2 3'
_cell_length_a 7.0849
_cell_length_b 7.0849
_cell_length_c 7.0849
_cell_angle_alpha 90.00
_cell_angle_beta 90.00
_cell_angle_gamma 90.00
loop_
_atom_site_label
_atom_site_type_symbol
_atom_site_fract_x
_atom_site_fract_y
_atom_site_fract_z
Y1 Y 0.0000 0.0000 0.0000
Te1 Te 0.2500 0.2500 0.2500
Os1 Os 0.0000 0.0000 0.5000
```

Computed properties:
ρ = 9.980 g cm⁻³
formation energy without anion corrections = 52 meV/atom

---

[10]
The following is a DFT calculation (PBE) of crystalline YTe2Os at its relaxed geometry.

```
data_YTe2Os
_chemical_formula_sum 'Y2 Te4 Os2'
_space_group_name_H-M_alt 'C m m m'
_space_group_IT_number 65
_space_group_name_Hall '-C 2 2'
_cell_length_a 6.0976
_cell_length_b 7.8289
_cell_length_c 4.2281
_cell_angle_alpha 90.00
_cell_angle_beta 90.00
_cell_angle_gamma 90.00
loop_
_atom_site_label
_atom_site_type_symbol
_atom_site_fract_x
_atom_site_fract_y
_atom_site_fract_z
Y1 Y 0.0000 0.0000 0.0000
Te1 Te 0.0000 0.2977 0.5000
Os1 Os 0.0000 0.5000 0.0000
```

Computed properties:
ρ = 8.792 g cm⁻³
formation energy without anion corrections = -133 meV/atom

---

[11]
The following is a DFT calculation (PBE) of crystalline YTe2Os at its relaxed geometry.

```
data_YTe2Os
_chemical_formula_sum 'Y1 Te2 Os1'
_space_group_name_H-M_alt 'P 4/m m m'
_space_group_IT_number 123
_space_group_name_Hall '-P 4 2'
_cell_length_a 3.4986
_cell_length_b 3.4986
_cell_length_c 7.2533
_cell_angle_alpha 90.00
_cell_angle_beta 90.00
_cell_angle_gamma 90.00
loop_
_atom_site_label
_atom_site_type_symbol
_atom_site_fract_x
_atom_site_fract_y
_atom_site_fract_z
Y1 Y 0.0000 0.0000 0.0000
Te1 Te 0.5000 0.5000 0.2768
Os1 Os 0.0000 0.0000 0.5000
```

Computed properties:
ρ = 9.994 g cm⁻³
formation energy without anion corrections = 179 meV/atom

---

[12]
The following is a DFT calculation (PBE) of crystalline YTe2Os at its relaxed geometry.

```
data_YTe2Os
_chemical_formula_sum 'Y3 Te6 Os3'
_space_group_name_H-M_alt 'R -3 m'
_space_group_IT_number 166
_space_group_name_Hall '-R 3 2"'
_cell_length_a 4.3284
_cell_length_b 4.3284
_cell_length_c 17.7084
_cell_angle_alpha 90.00
_cell_angle_beta 90.00
_cell_angle_gamma 120.00
loop_
_atom_site_label
_atom_site_type_symbol
_atom_site_fract_x
_atom_site_fract_y
_atom_site_fract_z
Y1 Y 0.0000 0.0000 0.0000
Te1 Te 0.0000 0.0000 0.2320
Os1 Os 0.0000 0.0000 0.5000
```

Computed properties:
ρ = 9.264 g cm⁻³
formation energy without anion corrections = -209 meV/atom

---

Question: The lowest ρ belongs to which entry?
Answer: Y6TeOs2

---

Question: Which of these has the highest formation energy without anion corrections?
Answer: YTe4Os

---

Question: Among the records above, which one has the lowest ρ?
Answer: Y6TeOs2

---

Question: What is the ρ in the fourth record?
Answer: 7.695 g cm⁻³